Below is a geometry-optimized Be2AlHgBi structure, with properties calculated at the PBE level.

Geometry as POSCAR:
```
Be2AlHgBi
1.0
-4.372 0.215 0.857
-0.950 -3.932 -3.860
0.454 -3.164 3.111
Be Hg Bi Al
2 1 1 1
Direct
0.000 0.000 0.500 Be
0.500 0.000 0.000 Be
0.000 0.500 0.000 Hg
0.500 0.500 0.500 Bi
0.000 0.000 0.000 Al
```

Output
D(E_F) = 2.5 states/eV per cell
ΔE_f = 818.9 meV per atom
VASP energy = -11.28 eV for the cell shown
SG = No. 123

***

Below is a geometry-optimized CsKSeBr2 structure, with properties calculated at the PBE level.

Geometry as POSCAR:
```
CsKSeBr2
1.0
6.279 0.000 0.000
0.000 6.279 0.000
0.000 0.000 6.101
Cs K Br Se
1 1 2 1
Direct
0.500 0.500 0.500 Cs
0.000 0.000 0.000 K
0.500 0.000 0.000 Br
0.000 0.500 0.000 Br
0.000 0.000 0.500 Se
```

Output
ΔE_f (raw) = -0.7835 eV per atom
D(E_F) = 5.6 states/eV per cell
VASP energy = -12.70 eV for the cell shown
SG = No. 123

***

Below is a geometry-optimized Ti2Nb3Sn structure, with properties calculated at the PBE level.

Geometry as POSCAR:
```
Ti2Nb3Sn
1.0
4.765 0.000 0.000
-2.382 6.258 -3.431
0.000 -0.820 7.906
Nb Ti Sn
6 4 2
Direct
0.293 0.586 0.616 Nb
0.382 0.765 0.388 Nb
0.618 0.235 0.612 Nb
0.039 0.077 0.375 Nb
0.961 0.923 0.625 Nb
0.707 0.414 0.384 Nb
0.459 0.919 0.137 Ti
0.792 0.584 0.143 Ti
0.208 0.416 0.857 Ti
0.541 0.081 0.863 Ti
0.865 0.730 0.874 Sn
0.135 0.270 0.126 Sn
```

Output
D(E_F) = 17.3 states/eV per cell
ΔE_f = -71.9 meV per atom
VASP energy = -100.87 eV for the cell shown
SG = No. 12

***

Which of these has the highest D(E_F)?
Ti2Nb3Sn